Entry 1:
Compound: Cs2Ga2Ag
Source: the Alexandria database
Functional: PBE
Structure: relaxed

Geometry as extended XYZ:
```
10
Lattice="7.453 0.000 0.000 0.000 7.453 0.000 0.000 0.000 6.237" Properties=species:S:1:pos:R:3 pbc="T T T"
Ag 0.000 0.000 0.000
Cs 5.169 6.011 3.119
Ga 4.628 0.902 0.000
Cs 6.011 2.284 3.119
Cs 1.443 5.169 3.119
Ga 2.825 6.552 0.000
Ag 3.727 3.727 0.000
Ga 6.552 4.628 0.000
Cs 2.284 1.443 3.119
Ga 0.902 2.825 0.000
```

Summary:
ΔE to the lowest computed polymorph   51 meV/atom
D(E_F)   3.1 states/eV/f.u.
Calculated total energy   -19.7 eV for the cell shown
Crystal system   tetragonal

Entry 2:
Compound: CsGaAg2
Source: the Alexandria database
Functional: PBE
Structure: relaxed

Geometry as extended XYZ:
```
8
Lattice="5.698 0.000 0.000 0.000 5.698 0.000 2.849 2.849 8.752" Properties=species:S:1:pos:R:3 pbc="T T T"
Ga 2.849 2.849 0.000
Ag 7.122 5.695 6.564
Cs 5.698 2.849 4.376
Ga 2.849 5.698 4.376
Cs 0.000 0.000 0.000
Ag 2.851 4.273 2.188
Ag 2.846 1.424 2.188
Ag 4.273 5.700 6.564
```

Summary:
ΔE to the lowest computed polymorph   116 meV/atom
D(E_F)   2.6 states/eV/f.u.
Calculated total energy   -18.5 eV for the cell shown
Crystal system   tetragonal

Entry 3:
Compound: CsGaAg3
Source: the Alexandria database
Functional: PBE
Structure: relaxed

Geometry as extended XYZ:
```
5
Lattice="5.242 0.000 0.000 0.000 5.242 0.000 0.000 0.000 5.242" Properties=species:S:1:pos:R:3 pbc="T T T"
Ag 2.621 0.000 0.000
Ga 0.000 0.000 0.000
Ag 0.000 0.000 2.621
Cs 2.621 2.621 2.621
Ag 0.000 2.621 0.000
```

Summary:
ΔE to the lowest computed polymorph   80 meV/atom
D(E_F)   1.8 states/eV/f.u.
Calculated total energy   -11.8 eV for the cell shown
Crystal system   cubic